5
Lattice="4.499 0.000 0.000 0.000 4.499 0.000 0.000 0.000 5.920" Properties=species:S:1:pos:R:3 comment="KScIN2 PBE optimized geometry" crystal_system=tetragonal relative_energy_ev_per_fu=0.00 n_ef_per_ev_atom=0.53 formation_energy_uncorrected_ev_per_fu=0.6 magnetic_moment_mub_per_cell=3.010 pbc="T T T"
K 0.000 0.000 0.000
Sc 2.249 2.249 2.960
I 2.249 2.249 0.000
N 0.000 2.249 2.960
N 2.249 0.000 2.960